# HoCrF5, optimized geometry, DFT PBE+U
# * E_tot: -45.57 eV/f.u.
# * crystal system: monoclinic
# * energy above the lowest structure with this stoichiometry: 17 meV/atom
data_HoCrF5
_space_group_name_H-M_alt 'P 1 21/c 1'
_space_group_IT_number 14
_space_group_name_Hall '-P 2ybc'
_cell_length_a 5.7139
_cell_length_b 10.5545
_cell_length_c 8.4935
_cell_angle_alpha 90.00
_cell_angle_beta 105.46
_cell_angle_gamma 90.00
loop_
_atom_site_label
_atom_site_type_symbol
_atom_site_fract_x
_atom_site_fract_y
_atom_site_fract_z
Ho1 Ho 0.0732 0.2421 0.3587
Cr1 Cr 0.4949 0.5025 0.7083
F1 F 0.1127 0.2060 0.6166
F2 F 0.2046 0.6032 0.2294
F3 F 0.2096 0.6192 0.6590
F4 F 0.3473 0.1006 0.3553
F5 F 0.3520 0.1080 0.9408